# Li2PtSF (PBE, optimized geometry)
data_Li2PtSF
_cell_length_a 4.792
_cell_length_b 4.792
_cell_length_c 3.780
_cell_angle_alpha 90.00
_cell_angle_beta 90.00
_cell_angle_gamma 90.00
_symmetry_space_group_name_H-M 'P 4/m m m'
_symmetry_Int_Tables_number 123
_symmetry_space_group_name_Hall '-P 4 2'
loop_
_atom_site_label
_atom_site_fract_x
_atom_site_fract_y
_atom_site_fract_z
Li1 0.000 0.500 0.000
Pt1 0.000 0.000 0.500
S1 0.500 0.500 0.000
F1 0.500 0.500 0.500
# Formation energy (no corrections) (eV/atom): -0.21

---

# SrLi2PtF8 (PBE, optimized geometry)
data_SrLi2PtF8
_cell_length_a 4.610
_cell_length_b 5.139
_cell_length_c 7.155
_cell_angle_alpha 81.10
_cell_angle_beta 84.70
_cell_angle_gamma 84.07
_symmetry_space_group_name_H-M 'P -1'
_symmetry_Int_Tables_number 2
loop_
_symmetry_equiv_pos_as_xyz
'x,y,z'
'-x,-y,-z'
loop_
_atom_site_label
_atom_site_fract_x
_atom_site_fract_y
_atom_site_fract_z
Sr1 0.000 0.000 0.000
Li1 0.461 0.452 0.213
Pt1 0.000 0.000 0.500
F1 0.163 0.767 0.721
F2 0.188 0.785 0.308
F3 0.309 0.244 0.460
F4 0.386 0.284 0.994
# Formation energy (no corrections) (eV/atom): -2.51

---

Spin magnetization list, top to bottom, in μB/atom: 0.11 0.00